Entry 1:
Here is a relaxed GaSnHg2 crystal from Alexandria. Energies are from GGA-PBE.

```
GaSnHg2
1.0
-1.006 -2.718 -2.210
-1.794 -1.575 2.755
-6.045 3.712 -1.814
Hg Ga Sn
2 1 1
Cartesian
-4.654 2.858 -1.396 Hg
-1.391 0.854 -0.417 Hg
-1.400 -2.147 0.272 Ga
-4.422 -0.291 -0.634 Sn
```

Summary:
As for the space-group type: P4/mmm, No. 123. The formation energy is 76 meV/atom. As for the calculated total energy: -1.832 eV/atom. As for the distance to the lowest polymorph of the same formula: 0.0122 eV/atom. The value obtained for the total magnetic moment is 0.00 μB per cell.



Entry 2:
Here is a relaxed LaScAsBr2 crystal from Alexandria. Energies are from GGA-PBE.

```
LaScAsBr2
1.0
-0.182 4.856 2.896
-4.145 -2.085 3.236
4.067 -2.134 3.833
Sc As Br La
1 1 2 1
Cartesian
-0.130 0.318 4.983 Sc
2.033 -1.067 1.917 As
-2.072 -1.043 1.618 Br
-0.091 2.428 1.448 Br
0.000 0.000 0.000 La
```

Summary:
As for the space-group type: P4/mmm, No. 123. As for the calculated total energy: -4.391 eV/atom. As for the distance to the lowest polymorph of the same formula: 0.5270 eV/atom. The value obtained for the total magnetic moment is 1.03 μB per cell.



Entry 3:
Here is a relaxed Y2ScZnHg crystal from Alexandria. Energies are from GGA-PBE.

```
Y2ScZnHg
1.0
5.424 0.000 0.000
0.000 4.912 0.000
0.000 0.000 5.424
Y Sc Zn Hg
2 1 1 1
Cartesian
0.000 0.000 2.712 Y
2.712 0.000 0.000 Y
2.712 2.456 2.712 Sc
0.000 0.000 0.000 Zn
0.000 2.456 0.000 Hg
```

Summary:
As for the space-group type: P4/mmm, No. 123. The formation energy is 277 meV/atom. As for the calculated total energy: -3.890 eV/atom. The value obtained for the total magnetic moment is 1.18 μB per cell.



Entry 4:
Here is a relaxed SmZrTlAu crystal from Alexandria. Energies are from GGA-PBE.

```
SmZrTlAu
1.0
5.161 0.000 0.000
2.581 4.470 0.000
2.581 1.490 4.214
Tl Au Zr Sm
1 1 1 1
Cartesian
5.161 2.980 2.107 Tl
0.000 0.000 0.000 Au
2.581 1.490 1.053 Zr
7.742 4.470 3.160 Sm
```

Summary:
As for the space-group type: F-43m, No. 216. The formation energy is -304 meV/atom. As for the calculated total energy: -5.032 eV/atom. The value obtained for the total magnetic moment is 1.10 μB per cell.